# 1
First-principles (PBE-GGA) data for crystalline FeNi6Rh2 at its relaxed geometry, as listed in Alexandria via LeMat-Bulk. Values from VASP.

```
&SYSTEM
  ibrav = 0, nat = 9, ntyp = 3
/
ATOMIC_SPECIES
Fe 55.84 Fe.upf
Ni 58.69 Ni.upf
Rh 102.91 Rh.upf
CELL_PARAMETERS angstrom
5.482 -1.793 0.000
5.482 1.793 0.000
-1.850 0.000 5.436
ATOMIC_POSITIONS crystal
Fe 0.000 0.000 0.000
Ni 0.115 0.115 0.676
Ni 0.223 0.223 0.330
Ni 0.331 0.331 0.001
Ni 0.669 0.669 0.999
Ni 0.777 0.777 0.670
Ni 0.885 0.885 0.324
Rh 0.443 0.443 0.669
Rh 0.557 0.557 0.331
```

Properties
- magnetization (μB/f.u.) = 8.12
- E above lowest polymorph (kcal/mol of atoms) = 0.00
- symmetry = No. 12

# 2
First-principles (PBE-GGA) data for crystalline Pr6Ge2SbSe3 at its relaxed geometry, as listed in Alexandria via LeMat-Bulk. Values from VASP.

```
&SYSTEM
  ibrav = 0, nat = 12, ntyp = 4
/
ATOMIC_SPECIES
Pr 140.91 Pr.upf
Ge 72.64 Ge.upf
Sb 121.76 Sb.upf
Se 78.96 Se.upf
CELL_PARAMETERS angstrom
9.482 -2.179 0.000
9.482 2.179 0.000
-1.953 0.000 8.509
ATOMIC_POSITIONS crystal
Pr 0.004 0.004 0.259
Pr 0.330 0.330 0.905
Pr 0.331 0.331 0.422
Pr 0.669 0.669 0.578
Pr 0.670 0.670 0.095
Pr 0.996 0.996 0.741
Ge 0.167 0.167 0.334
Ge 0.833 0.833 0.666
Sb 0.500 0.500 0.000
Se 0.165 0.165 0.834
Se 0.500 0.500 0.500
Se 0.835 0.835 0.166
```

Properties
- magnetization (μB/f.u.) = 0.00
- energy relative to the elements, uncorrected (eV per atom) = -1.4468
- symmetry = No. 12

# 3
First-principles (PBE-GGA) data for crystalline Li4Hf3ZrSe8 at its relaxed geometry, as listed in Alexandria via LeMat-Bulk. Values from VASP.

```
&SYSTEM
  ibrav = 0, nat = 16, ntyp = 4
/
ATOMIC_SPECIES
Li 6.94 Li.upf
Hf 178.49 Hf.upf
Zr 91.22 Zr.upf
Se 78.96 Se.upf
CELL_PARAMETERS angstrom
3.738 2.158 6.644
-3.738 2.158 6.644
0.000 -4.316 6.644
ATOMIC_POSITIONS crystal
Li 0.000 0.000 0.000
Li 0.000 0.500 0.500
Li 0.500 0.000 0.500
Li 0.500 0.500 0.000
Hf 0.000 0.000 0.500
Hf 0.000 0.500 0.000
Hf 0.500 0.000 0.000
Zr 0.500 0.500 0.500
Se 0.246 0.752 0.752
Se 0.248 0.248 0.754
Se 0.248 0.754 0.248
Se 0.249 0.249 0.249
Se 0.751 0.751 0.751
Se 0.752 0.246 0.752
Se 0.752 0.752 0.246
Se 0.754 0.248 0.248
```

Properties
- magnetization (μB/f.u.) = 0.00
- energy relative to the elements, uncorrected (eV per atom) = -1.2873
- symmetry = No. 166

# 4
First-principles (PBE-GGA) data for crystalline K2RbAgCl5 at its relaxed geometry, as listed in Alexandria via LeMat-Bulk. Values from VASP.

```
&SYSTEM
  ibrav = 0, nat = 18, ntyp = 4
/
ATOMIC_SPECIES
K 39.10 K.upf
Rb 85.47 Rb.upf
Ag 107.87 Ag.upf
Cl 35.45 Cl.upf
CELL_PARAMETERS angstrom
2.247 -9.443 0.000
2.247 9.443 0.000
0.000 0.000 13.212
ATOMIC_POSITIONS crystal
K 0.098 0.902 0.500
K 0.131 0.869 0.101
K 0.869 0.131 0.601
K 0.902 0.098 0.000
Rb 0.217 0.783 0.827
Rb 0.783 0.217 0.327
Ag 0.480 0.520 0.254
Ag 0.520 0.480 0.754
Cl 0.044 0.956 0.856
Cl 0.268 0.732 0.507
Cl 0.358 0.642 0.183
Cl 0.392 0.608 0.805
Cl 0.482 0.518 0.569
Cl 0.518 0.482 0.069
Cl 0.608 0.392 0.305
Cl 0.642 0.358 0.683
Cl 0.732 0.268 0.007
Cl 0.956 0.044 0.356
```

Properties
- magnetization (μB/f.u.) = 0.89
- energy relative to the elements, uncorrected (eV per atom) = -1.3922
- symmetry = No. 36

Q: Which formula does entry 1 have?
A: FeNi6Rh2

Repeat the third record exactly.
First-principles (PBE-GGA) data for crystalline Li4Hf3ZrSe8 at its relaxed geometry, as listed in Alexandria via LeMat-Bulk. Values from VASP.

```
&SYSTEM
  ibrav = 0, nat = 16, ntyp = 4
/
ATOMIC_SPECIES
Li 6.94 Li.upf
Hf 178.49 Hf.upf
Zr 91.22 Zr.upf
Se 78.96 Se.upf
CELL_PARAMETERS angstrom
3.738 2.158 6.644
-3.738 2.158 6.644
0.000 -4.316 6.644
ATOMIC_POSITIONS crystal
Li 0.000 0.000 0.000
Li 0.000 0.500 0.500
Li 0.500 0.000 0.500
Li 0.500 0.500 0.000
Hf 0.000 0.000 0.500
Hf 0.000 0.500 0.000
Hf 0.500 0.000 0.000
Zr 0.500 0.500 0.500
Se 0.246 0.752 0.752
Se 0.248 0.248 0.754
Se 0.248 0.754 0.248
Se 0.249 0.249 0.249
Se 0.751 0.751 0.751
Se 0.752 0.246 0.752
Se 0.752 0.752 0.246
Se 0.754 0.248 0.248
```

Properties
- magnetization (μB/f.u.) = 0.00
- energy relative to the elements, uncorrected (eV per atom) = -1.2873
- symmetry = No. 166

Q: Which of these has the highest magnetization?
A: FeNi6Rh2